# ReNi2, relaxed, DFT PBE
data_ReNi2
_chemical_formula_sum 'Re3 Ni6'
_cell_length_a 7.1197
_cell_length_b 7.1197
_cell_length_c 2.5503
_cell_angle_alpha 90.00
_cell_angle_beta 90.00
_cell_angle_gamma 120.00
_symmetry_space_group_name_H-M 'P -6 2 m'
_symmetry_Int_Tables_number 189
_symmetry_space_group_name_Hall 'P -6 -2'
loop_
_atom_site_label
_atom_site_type_symbol
_atom_site_fract_x
_atom_site_fract_y
_atom_site_fract_z
Re1 Re 0.0000 0.0000 0.0000
Re2 Re 0.3333 0.6667 0.5000
Ni1 Ni 0.0000 0.3068 0.5000
Ni2 Ni 0.0000 0.6401 0.0000
# Energy of formation in eV/atom: 0.11
# Distance to the lowest polymorph of the same formula in kJ/mol of atoms: 15.11
# M_tot in μB/atom: 0.00
# Crystal system: hexagonal
# Final energy in eV/atom: -7.897